1.
Computed, not measured: a crystal of Mg3Os relaxed with PBEsol at the SCAN level of DFT.

a b c (Å): 5.6313 8.6784 2.7851
angles (deg): 90.00 90.00 90.00
Fractional positions:
Mg  0.0000  0.0000  0.0000
Mg  0.2500  0.2500  0.5000
Mg  0.2500  0.7500  0.5000
Mg  0.5000  0.5000  0.0000
Mg  0.7500  0.2500  0.5000
Mg  0.7500  0.7500  0.5000
Os  0.0000  0.5000  0.0000
Os  0.5000  0.0000  0.0000

formation enthalpy at 0 K = 19.27 kJ/mol of atoms
D(E_F) = 4.8 states/eV/cell
total moment = 0.19 μB/f.u.
space-group type = Cmmm

=====

2.
Computed, not measured: a crystal of K2CuPt relaxed with PBEsol at the SCAN level of DFT.

a b c (Å): 4.5365 5.0122 10.3520
angles (deg): 90.00 90.00 90.00
Fractional positions:
K  0.0000  0.0000  0.0000
K  0.0000  0.5000  0.5000
K  0.5000  0.0000  0.3024
K  0.5000  0.5000  0.8024
Cu  0.0000  0.0000  0.6820
Cu  0.0000  0.5000  0.1820
Pt  0.5000  0.0000  0.6178
Pt  0.5000  0.5000  0.1178

formation enthalpy at 0 K = 4.91 kJ/mol of atoms
D(E_F) = 2.0 states/eV/cell
total moment = 0.00 μB/f.u.
space-group type = Amm2

=====

3.
Computed, not measured: a crystal of Sc2Ge2S relaxed with PBEsol at the SCAN level of DFT.

a b c (Å): 3.5558 3.5558 14.4103
angles (deg): 90.00 90.00 90.00
Fractional positions:
Sc  0.0000  0.0000  0.1018
Sc  0.0000  0.0000  0.8982
Sc  0.5000  0.5000  0.3982
Sc  0.5000  0.5000  0.6018
Ge  0.0000  0.5000  0.2500
Ge  0.0000  0.5000  0.7500
Ge  0.5000  0.0000  0.2500
Ge  0.5000  0.0000  0.7500
S  0.0000  0.0000  0.5000
S  0.5000  0.5000  0.0000

energy relative to the elements, uncorrected = -4.69 eV/f.u.
D(E_F) = 4.3 states/eV/cell
total moment = 0.00 μB/f.u.
space-group type = I4/mmm